[1]
A plane-wave DFT calculation with PBE-GGA was carried out for a geometry-optimized BeInC2 structure.

Cell and atoms, written as POSCAR:
```
BeInC2
1.0
3.8952 0.0000 0.0000
0.0000 3.8952 0.0000
1.9476 1.9476 5.7760
Be C In
2 4 2
direct
0.5000 0.5000 0.0000
0.2500 0.7500 0.5000
0.4762 0.1250 0.2500
0.2738 0.6250 0.2500
0.3750 0.5238 0.7500
0.8750 0.7262 0.7500
0.0000 0.0000 0.0000
0.7500 0.2500 0.5000
```

Results
- E above lowest polymorph: 0.0000 eV per atom
- Magnetic moment: 0.00 μB per formula unit
- Crystal system: tetragonal
- D(E_F): 1.5 states/eV per cell
- Energy relative to the elements: 1.140 eV/atom

=====

[2]
A plane-wave DFT calculation with PBE-GGA was carried out for a geometry-optimized DyReO5 structure.

Cell and atoms, written as POSCAR:
```
DyReO5
1.0
5.5086 0.0355 -0.0089
1.7813 5.2128 -0.0089
2.6047 1.8752 6.8428
Dy Re O
2 2 10
direct
0.5505 0.4495 0.2500
0.4495 0.5505 0.7500
0.0000 0.0000 0.0000
0.0000 0.0000 0.5000
0.7938 0.7560 0.1165
0.2777 0.6972 0.4623
0.7560 0.7938 0.6165
0.9250 0.0750 0.2500
0.3028 0.7223 0.0377
0.6972 0.2777 0.9623
0.0750 0.9250 0.7500
0.2440 0.2062 0.3835
0.7223 0.3028 0.5377
0.2062 0.2440 0.8835
```

Results
- Magnetic moment: 0.00 μB per formula unit
- Crystal system: monoclinic
- Energy relative to the elements, uncorrected: -2.260 eV per atom